A crystal of Ca2LaYTc relaxed with PBEsol. Source: Alexandria, functional SCAN.

abc: 5.6997 5.6997 4.7048
angles: 90.00 90.00 90.00
Last column: nearest neighbours and their distance in Å.
Space group P4/mmm (No. 123)
Symmetry-distinct sites (fractional):
1 Ca 0.0000 0.5000 0.0000 [2 per cell]  2 La 2.85
2 La 0.0000 0.0000 0.0000 [1 per cell]  2 Tc 2.35
3 Y 0.5000 0.5000 0.5000 [1 per cell]  8 Ca 3.70, 4 Tc 4.03
4 Tc 0.0000 0.0000 0.5000 [1 per cell]  2 La 2.35

Summary:
The density of states at the Fermi level is 5.17 states/eV per cell. The formation enthalpy at 0 K is 0.799 eV/atom.

A crystal of CaLa2Te4 relaxed with PBEsol. Source: Alexandria, functional SCAN.

abc: 9.4745 9.4745 9.5874
angles: 90.00 90.00 90.00
Last column: nearest neighbours and their distance in Å.
Space group I-42d (No. 122)
Symmetry-distinct sites (fractional):
1 Ca 0.0000 0.0000 0.0000 [4 per cell]  8 Te 3.18-3.40
2 La 0.1259 0.7500 0.6250 [8 per cell]  8 Te 3.21-3.39
3 Te 0.0761 0.6767 0.9507 [16 per cell]  2 Ca 3.18-3.40, 4 La 3.21-3.39

Summary:
As for the formation energy without anion corrections: -1780 meV/atom.

A crystal of CaLaTe relaxed with PBEsol. Source: Alexandria, functional SCAN.

abc: 7.3693 7.3693 7.3693
angles: 90.00 90.00 90.00
Last column: nearest neighbours and their distance in Å.
Space group F-43m (No. 216)
Symmetry-distinct sites (fractional):
1 Ca 0.0000 0.0000 0.0000 [4 per cell]  4 Te 3.19
2 La 0.0000 0.0000 0.5000 [4 per cell]  4 Te 3.19
3 Te 0.2500 0.2500 0.2500 [4 per cell]  4 La 3.19, 4 Ca 3.19

Summary:
As for the formation energy without anion corrections: -802 meV/atom. The density of states at the Fermi level is 16.87 states/eV per cell.

A crystal of CaLa2Te relaxed with PBEsol. Source: Alexandria, functional SCAN.

abc: 3.8933 5.3778 12.4448
angles: 90.00 90.00 90.00
Last column: nearest neighbours and their distance in Å.
Space group Immm (No. 71)
Symmetry-distinct sites (fractional):
1 Ca 0.0000 0.0000 0.0000 [2 per cell]  4 Te 3.32
2 La 0.0000 0.5000 0.2122 [4 per cell]  2 Te 3.28, 4 La 3.45
3 Te 0.0000 0.0000 0.5000 [2 per cell]  4 La 3.28, 4 Ca 3.32

Summary:
As for the formation energy without anion corrections: -645 meV/atom. The density of states at the Fermi level is 7.29 states/eV per cell.

A crystal of CaLa2Tl2 relaxed with PBEsol. Source: Alexandria, functional SCAN.

abc: 8.5696 8.5696 4.3610
angles: 90.00 90.00 90.00
Last column: nearest neighbours and their distance in Å.
Space group P4/mbm (No. 127)
Symmetry-distinct sites (fractional):
1 Ca 0.0000 0.0000 0.0000 [2 per cell]  4 Tl 3.37
2 La 0.1695 0.3305 0.5000 [4 per cell]  6 Tl 3.27-3.38
3 Tl 0.1291 0.6291 0.0000 [4 per cell]  1 Tl 3.13, 6 La 3.27-3.38, 2 Ca 3.37

Summary:
The density of states at the Fermi level is 7.82 states/eV per cell. The formation enthalpy at 0 K is -0.599 eV/atom.

A crystal of Ca2LaTl relaxed with PBEsol. Source: Alexandria, functional SCAN.

abc: 4.9126 4.9126 5.2297
angles: 90.00 90.00 90.00
Last column: nearest neighbours and their distance in Å.
Space group P4/mmm (No. 123)
Symmetry-distinct sites (fractional):
1 Ca 0.0000 0.5000 0.0000 [2 per cell]  4 Ca 3.47, 4 Tl 3.59, 4 La 3.59
2 La 0.0000 0.0000 0.5000 [1 per cell]  4 Tl 3.47, 8 Ca 3.59
3 Tl 0.5000 0.5000 0.5000 [1 per cell]  4 La 3.47, 8 Ca 3.59

Summary:
The density of states at the Fermi level is 1.51 states/eV per cell. The formation enthalpy at 0 K is -0.335 eV/atom. As for the excess energy over the best structure of this formula in the dataset: 0.000 eV/f.u.

A crystal of Ca2LaTl2 relaxed with PBEsol. Source: Alexandria, functional SCAN.

abc: 4.7584 4.7584 13.9642
angles: 90.00 90.00 90.00
Last column: nearest neighbours and their distance in Å.
Space group I4/mmm (No. 139)
Symmetry-distinct sites (fractional):
1 Ca 0.0000 0.5000 0.2500 [4 per cell]  4 Tl 3.16, 4 Ca 3.36
2 La 0.0000 0.0000 0.0000 [2 per cell]  8 Tl 3.65
3 Tl 0.0000 0.0000 0.3991 [4 per cell]  1 Tl 2.82

Summary:
The density of states at the Fermi level is 8.19 states/eV per cell. The formation enthalpy at 0 K is -0.436 eV/atom.

A crystal of Ca2LaTl relaxed with PBEsol. Source: Alexandria, functional SCAN.

abc: 3.6954 4.6752 7.4810
angles: 90.00 90.00 90.00
Last column: nearest neighbours and their distance in Å.
Space group Pmm2 (No. 25)
Symmetry-distinct sites (fractional):
1 Ca 0.0000 0.0000 0.0000 [1 per cell]  1 La 3.28, 4 Tl 3.42, 4 Ca 3.65
2 Ca 0.5000 0.5000 0.2825 [1 per cell]  4 La 3.64, 6 Ca 3.65-3.70, 2 Tl 3.70-3.78
3 La 0.0000 0.0000 0.5617 [1 per cell]  5 Ca 3.28-3.64, 4 Tl 3.39
4 Tl 0.5000 0.5000 0.7768 [1 per cell]  4 La 3.39, 6 Ca 3.42-3.78, 2 Tl 3.70

Summary:
The density of states at the Fermi level is 1.99 states/eV per cell. The formation enthalpy at 0 K is -0.259 eV/atom. As for the excess energy over the best structure of this formula in the dataset: 0.306 eV/f.u.

A crystal of CaLa2W relaxed with PBEsol. Source: Alexandria, functional SCAN.

abc: 4.7111 4.7111 9.3762
angles: 90.00 90.00 90.00
Last column: nearest neighbours and their distance in Å.
Space group I-4m2 (No. 119)
Symmetry-distinct sites (fractional):
1 Ca 0.0000 0.0000 0.0000 [2 per cell]  8 La 3.32-3.33, 4 W 3.32
2 La 0.0000 0.0000 0.5000 [2 per cell]  4 La 3.32, 4 W 3.32, 4 Ca 3.33
3 La 0.0000 0.5000 0.2500 [2 per cell]  4 La 3.32, 4 Ca 3.32, 4 W 3.33
4 W 0.0000 0.5000 0.7500 [2 per cell]  8 La 3.32-3.33, 4 Ca 3.32

Summary:
The density of states at the Fermi level is 9.37 states/eV per cell. The formation enthalpy at 0 K is 0.774 eV/atom. As for the excess energy over the best structure of this formula in the dataset: 0.000 eV/f.u.

A crystal of CaLa2W relaxed with PBEsol. Source: Alexandria, functional SCAN.

abc: 6.6931 9.8267 3.1775
angles: 90.00 90.00 90.00
Last column: nearest neighbours and their distance in Å.
Space group Cmmm (No. 65)
Symmetry-distinct sites (fractional):
1 Ca 0.0000 0.0000 0.0000 [2 per cell]  2 Ca 3.18, 2 W 3.35, 8 La 3.37
2 La 0.2500 0.2500 0.5000 [4 per cell]  4 La 3.18-3.35, 4 W 3.37, 4 Ca 3.37
3 W 0.0000 0.5000 0.0000 [2 per cell]  2 W 3.18, 2 Ca 3.35, 8 La 3.37

Summary:
The density of states at the Fermi level is 10.27 states/eV per cell. The formation enthalpy at 0 K is 0.868 eV/atom. As for the excess energy over the best structure of this formula in the dataset: 0.375 eV/f.u.

A crystal of CaLaW2 relaxed with PBEsol. Source: Alexandria, functional SCAN.

abc: 8.2504 3.1697 7.8668
angles: 90.00 93.81 90.00
Last column: nearest neighbours and their distance in Å.
Space group Cm (No. 8)
Symmetry-distinct sites (fractional):
1 Ca 0.0000 0.0000 0.0000 [2 per cell]  3 W 2.91-3.15, 2 Ca 3.17
2 La 0.2234 0.0000 0.6121 [2 per cell]  3 W 2.93-3.15, 2 La 3.17
3 W 0.2497 0.5000 0.2437 [2 per cell]  3 W 2.52-2.58
4 W 0.4749 0.0000 0.3667 [2 per cell]  3 W 2.52-2.58

Summary:
The density of states at the Fermi level is 6.86 states/eV per cell. The formation enthalpy at 0 K is 0.685 eV/atom.

A crystal of CaLa2W relaxed with PBEsol. Source: Alexandria, functional SCAN.

abc: 7.4498 7.4498 7.4498
angles: 90.00 90.00 90.00
Last column: nearest neighbours and their distance in Å.
Space group F-43m (No. 216)
Symmetry-distinct sites (fractional):
1 Ca 0.0000 0.0000 0.0000 [4 per cell]  4 W 3.23, 4 La 3.23
2 La 0.0000 0.0000 0.5000 [4 per cell]  4 La 3.23, 4 W 3.23
3 La 0.2500 0.2500 0.2500 [4 per cell]  4 La 3.23, 4 Ca 3.23
4 W 0.2500 0.2500 0.7500 [4 per cell]  4 La 3.23, 4 Ca 3.23

Summary:
The density of states at the Fermi level is 25.87 states/eV per cell. The formation enthalpy at 0 K is 0.835 eV/atom. As for the excess energy over the best structure of this formula in the dataset: 0.245 eV/f.u.

A crystal of Ca2LaW relaxed with PBEsol. Source: Alexandria, functional SCAN.

abc: 3.9332 5.2971 10.9765
angles: 90.00 90.00 90.00
Last column: nearest neighbours and their distance in Å.
Space group Cmm2 (No. 35)
Symmetry-distinct sites (fractional):
1 Ca 0.0000 0.0000 0.0000 [2 per cell]  4 Ca 3.30
2 Ca 0.0000 0.5000 0.3000 [2 per cell]  2 W 3.00, 4 Ca 3.30
3 La 0.0000 0.5000 0.6945 [2 per cell]  2 W 2.85
4 W 0.0000 0.0000 0.5067 [2 per cell]  2 La 2.85, 2 Ca 3.00

Summary:
The density of states at the Fermi level is 7.95 states/eV per cell. The formation enthalpy at 0 K is 0.712 eV/atom.

A crystal of CaLaW relaxed with PBEsol. Source: Alexandria, functional SCAN.

abc: 3.0496 3.0496 16.2995
angles: 90.00 90.00 90.00
Last column: nearest neighbours and their distance in Å.
Space group I4mm (No. 107)
Symmetry-distinct sites (fractional):
1 Ca 0.0000 0.0000 0.0000 [2 per cell]  4 Ca 3.05, 4 W 3.16
2 La 0.0000 0.0000 0.7142 [2 per cell]  4 La 3.05, 4 W 3.19
3 W 0.0000 0.0000 0.3581 [2 per cell]  4 W 3.05, 4 Ca 3.16, 4 La 3.19

Summary:
The density of states at the Fermi level is 5.27 states/eV per cell. The formation enthalpy at 0 K is 0.854 eV/atom.

A crystal of CaLa2W relaxed with PBEsol. Source: Alexandria, functional SCAN.

abc: 3.1545 5.0029 6.6466
angles: 90.00 90.00 90.00
Last column: nearest neighbours and their distance in Å.
Space group Pmm2 (No. 25)
Symmetry-distinct sites (fractional):
1 Ca 0.0000 0.0000 0.0000 [1 per cell]  1 La 2.99, 2 Ca 3.15
2 La 0.0000 0.0000 0.5501 [1 per cell]  1 Ca 2.99, 2 La 3.15, 4 W 3.27
3 La 0.5000 0.5000 0.2905 [1 per cell]  1 W 3.12, 6 La 3.15-3.42
4 W 0.5000 0.5000 0.7605 [1 per cell]  5 La 3.12-3.27, 2 W 3.15, 4 Ca 3.36

Summary:
The density of states at the Fermi level is 4.85 states/eV per cell. The formation enthalpy at 0 K is 0.776 eV/atom. As for the excess energy over the best structure of this formula in the dataset: 0.008 eV/f.u.